Material: Li3PaPb2F12
Method: DFT, PBE
State: optimized geometry Values from VASP.

The structure in Quantum ESPRESSO input format:
```
&SYSTEM
  ibrav = 0, nat = 18, ntyp = 4
/
ATOMIC_SPECIES
Li 6.94 Li.upf
Pa 231.04 Pa.upf
Pb 207.20 Pb.upf
F 19.00 F.upf
ATOMIC_POSITIONS angstrom
Li -1.516 -0.876 10.042
Li -1.516 0.876 20.083
Li 0.000 1.751 10.042
Pa 0.000 0.000 15.062
Pb 0.000 0.000 2.235
Pb 0.000 0.000 27.890
F -1.455 -0.840 13.785
F 0.000 -1.644 9.069
F -1.424 0.822 9.069
F 0.000 -1.680 16.340
F -1.455 0.840 16.340
F -1.424 -0.822 21.056
F 1.424 0.822 9.069
F 1.455 -0.840 13.785
F 0.000 1.680 13.785
F 1.424 -0.822 21.056
F 0.000 1.644 21.056
F 1.455 0.840 16.340
CELL_PARAMETERS angstrom
3.033 1.751 10.042
-3.033 1.751 10.042
0.000 -3.502 10.042
```

The formation energy (no corrections) is -2931 meV/atom. Its theoretical density is 4.64 g/cm³. The total energy is -5.437 eV per atom. The calculation puts the size of the total moment at 0.0 μB/cell. The crystal system is trigonal.


Material: La2ZnBi2
Method: DFT, PBE
State: optimized geometry Values from VASP.

The structure in Quantum ESPRESSO input format:
```
&SYSTEM
  ibrav = 0, nat = 10, ntyp = 3
/
ATOMIC_SPECIES
La 138.91 La.upf
Zn 65.41 Zn.upf
Bi 208.98 Bi.upf
ATOMIC_POSITIONS angstrom
La 1.283 3.085 0.000
La 3.085 7.452 0.000
La 5.650 1.283 0.000
La 7.452 5.650 0.000
Zn 0.000 0.000 0.000
Zn 4.367 4.367 0.000
Bi 1.395 5.762 2.170
Bi 2.973 1.395 2.170
Bi 5.762 7.340 2.170
Bi 7.340 2.973 2.170
CELL_PARAMETERS angstrom
8.735 0.000 0.000
0.000 8.735 0.000
0.000 0.000 4.339
```

Its calculated formation energy is -615.6 meV per atom. Its theoretical density is 7.64 g/cm³. The total energy is -4.394 eV per atom. The calculation puts the size of the total moment at 0.0 μB/cell. The crystal system is tetragonal.


Material: Pm2Sc3Cd4
Method: DFT, PBE
State: optimized geometry Values from VASP.

The structure in Quantum ESPRESSO input format:
```
&SYSTEM
  ibrav = 0, nat = 18, ntyp = 3
/
ATOMIC_SPECIES
Pm 145.00 Pm.upf
Sc 44.96 Sc.upf
Cd 112.41 Cd.upf
ATOMIC_POSITIONS angstrom
Pm 3.287 7.067 7.272
Pm 3.287 1.685 3.224
Pm 3.287 -1.685 4.871
Pm 3.287 -7.067 0.823
Sc 0.000 0.000 4.048
Sc 1.644 4.268 6.072
Sc 1.644 -4.268 2.024
Sc 3.287 0.000 0.000
Sc 4.931 4.268 6.072
Sc 4.931 -4.268 2.024
Cd 3.287 5.821 4.158
Cd 1.644 1.253 6.072
Cd 1.644 -1.253 2.024
Cd 3.287 2.930 0.110
Cd 3.287 -2.930 7.985
Cd 4.931 1.253 6.072
Cd 4.931 -1.253 2.024
Cd 3.287 -5.821 3.937
CELL_PARAMETERS angstrom
3.287 -8.751 0.000
3.287 8.751 0.000
0.000 0.000 8.095
```

Its calculated formation energy is -173.2 meV per atom. Its theoretical density is 6.24 g/cm³. The total energy is -3.746 eV per atom. The calculation puts the size of the total moment at 0.0 μB/cell. The crystal system is orthorhombic.